Co3B2O6 (PBE+U, relaxed); theoretical density = 4.72 Mg/m³; electronic total energy = -6.982 eV/atom; V = 9.41 Å³ per atom
1.0
4.530 0.000 0.000
0.000 5.420 0.000
0.000 0.000 8.434
Co B O
6 4 12
direct
0.000 0.000 0.000 Co
0.000 0.500 0.188 Co
0.000 0.500 0.812 Co
0.500 0.000 0.312 Co
0.500 0.000 0.688 Co
0.500 0.500 0.500 Co
0.044 0.243 0.500 B
0.456 0.743 0.000 B
0.544 0.257 0.000 B
0.956 0.757 0.500 B
0.201 0.291 0.361 O
0.201 0.291 0.639 O
0.250 0.320 0.000 O
0.250 0.820 0.500 O
0.299 0.791 0.139 O
0.299 0.791 0.861 O
0.701 0.209 0.139 O
0.701 0.209 0.861 O
0.750 0.180 0.500 O
0.750 0.680 0.000 O
0.799 0.709 0.361 O
0.799 0.709 0.639 O